Density functional theory data (GGA-PBE) for a relaxed structure of GaTcSe3.

- distance to the lowest polymorph of the same formula (meV per atom) = 0
- raw total energy (eV for the cell shown) = -22.7
- energy relative to the elements, uncorrected (eV/atom) = 0.2213
- space group = Pm-3m

Unit cell a=4.940 b=4.940 c=4.940 alpha=90.00 beta=90.00 gamma=90.00
Sites, in units of the cell vectors:
Ga 0.000 0.000 0.000
Tc 0.500 0.500 0.500
Se 0.000 0.500 0.500
Se 0.500 0.000 0.500
Se 0.500 0.500 0.000